# 1
The following is a DFT calculation (PBE) of crystalline Li2CdGa2Cu2 at its relaxed geometry.

Geometry as extended XYZ:
```
7
Lattice="3.728 -2.160 0.000 3.728 2.160 0.000 -2.493 0.000 6.595" Properties=species:S:1:pos:R:3 pbc="T T T"
Li -0.004 0.000 2.799
Li 4.967 0.000 3.795
Cd 0.000 0.000 0.000
Ga 2.489 0.000 1.766
Ga 2.475 0.000 4.828
Cu -0.007 0.000 5.388
Cu 4.970 0.000 1.207
```

Calculated values
DOS at the Fermi energy	1.4	states/eV per cell
SG	C2/m
calculated total energy	-20.2	eV for the cell shown
formation energy from the elements	-1.25	eV/f.u.

# 2
The following is a DFT calculation (PBE) of crystalline LiCdGaCu2 at its relaxed geometry.

Geometry as extended XYZ:
```
5
Lattice="4.350 0.000 0.000 0.000 4.350 0.000 0.000 0.000 4.656" Properties=species:S:1:pos:R:3 pbc="T T T"
Li 0.000 0.000 0.000
Cd 0.000 0.000 2.328
Ga 2.175 2.175 2.328
Cu 0.000 2.175 0.000
Cu 2.175 0.000 0.000
```

Calculated values
DOS at the Fermi energy	1.6	states/eV per cell
SG	P4/mmm
calculated total energy	-11.4	eV for the cell shown
formation energy from the elements	2.65	eV/f.u.

# 3
The following is a DFT calculation (PBE) of crystalline Mg2CdGaCu at its relaxed geometry.

Geometry as extended XYZ:
```
5
Lattice="4.909 0.000 0.000 0.000 4.909 0.000 0.000 0.000 4.945" Properties=species:S:1:pos:R:3 pbc="T T T"
Mg 0.000 2.455 0.000
Mg 2.455 0.000 0.000
Cd 0.000 0.000 2.472
Ga 2.455 2.455 2.472
Cu 0.000 0.000 0.000
```

Calculated values
DOS at the Fermi energy	2.0	states/eV per cell
SG	P4/mmm
calculated total energy	-10.3	eV for the cell shown
formation energy from the elements	0.92	eV/f.u.